# 1
Computed, not measured: an optimized crystal structure of VTeF3 at the GGA+U level of DFT.

Properties
The calculation puts the total magnetic moment at 5.55 μB per cell. As for the mass density: 4.9 Mg/m³. As for the crystal system: cubic.

```
5
Lattice="4.3058 0.0000 0.0000 0.0000 4.3058 0.0000 0.0000 0.0000 4.3058" Properties=species:S:1:pos:R:3 pbc="T T T"
V 0.0000 0.0000 0.0000
Te 2.1529 2.1529 2.1529
F 0.0000 0.0000 2.1529
F 0.0000 2.1529 0.0000
F 2.1529 0.0000 0.0000
```

# 2
Computed, not measured: an optimized crystal structure of VTeF2 at the GGA+U level of DFT.

Properties
The calculation puts the total magnetic moment at 1.25 μB per cell. As for the mass density: 5.6 Mg/m³. The excess energy over the best structure of this formula in the dataset comes out at 30.87 kcal/mol of atoms. As for the crystal system: cubic.

```
4
Lattice="0.0000 3.1867 3.1867 3.1867 0.0000 3.1867 3.1867 3.1867 0.0000" Properties=species:S:1:pos:R:3 pbc="T T T"
V 0.0000 0.0000 0.0000
Te 3.1867 3.1867 3.1867
F 1.5934 1.5934 1.5934
F 4.7801 4.7801 4.7801
```

| no. | E_tot (eV per atom) |
| --- | --- |
| 1 | -4.83 |
| 2 | -4.06 |